Record 1
Density functional theory data (PBE) for SrCaCd2 after structural relaxation.

Structure (extended XYZ):
```
4
Lattice="0.145 7.414 1.750 0.129 -6.087 4.581 3.456 5.066 -4.522" Properties=species:S:1:pos:R:3 pbc="T T T"
Sr 1.800 6.240 -1.386
Ca 0.000 0.000 0.000
Cd 0.873 3.025 -0.672
Cd 2.728 9.454 -2.100
```

Properties
* space group: Immm, No. 71


Record 2
Density functional theory data (PBE) for SrCa2Cd after structural relaxation.

Structure (extended XYZ):
```
16
Lattice="-6.709 0.575 0.678 -1.101 -2.184 -9.045 -0.575 -9.495 2.363" Properties=species:S:1:pos:R:3 pbc="T T T"
Sr -4.757 -3.186 -3.795
Sr -6.210 -1.922 0.930
Sr -3.627 -7.919 -2.210
Sr -2.174 -9.182 -6.935
Ca -1.548 -1.945 -5.880
Ca -3.026 -4.366 -0.262
Ca -6.614 -5.492 -1.038
Ca -5.580 -10.407 -4.830
Ca -6.836 -9.160 -0.125
Ca -5.359 -6.739 -5.742
Ca -1.770 -5.613 -4.967
Ca -2.804 -0.698 -1.175
Cd -1.190 -3.155 -2.802
Cd -3.843 -4.067 -7.112
Cd -7.194 -7.950 -3.202
Cd -4.541 -7.038 1.108
```

Properties
* space group: Pnma, No. 62


| no. | ΔE_f (meV per atom) |
| --- | --- |
| 1 | 307 |
| 2 | -178 |